1.
Below is YSc after structural relaxation, with properties calculated at the GGA-PBE level.

Cell lengths 7.4448, 7.3335, 6.2298 Å; angles 66.00, 64.14, 49.86 degrees
With the nearest neighbours (Å) after each atom.
Positions (direct):
Y1 0.0476 0.7024 0.0476  1 Y 3.11, 6 Sc 3.14-3.30
Y2 0.2976 0.9524 0.2976  1 Y 3.11, 6 Sc 3.14-3.30
Y3 0.7024 0.0476 0.7024  1 Y 3.11, 6 Sc 3.14-3.30
Y4 0.9524 0.2976 0.9524  1 Y 3.11, 6 Sc 3.14-3.30
Sc1 0.2128 0.5372 0.5372  1 Sc 2.80
Sc2 0.4628 0.7872 0.7872  1 Sc 2.80
Sc3 0.5372 0.2128 0.2128  1 Sc 2.80
Sc4 0.7872 0.4628 0.4628  1 Sc 2.80

Crystal system: orthorhombic
VASP energy (eV/atom): -6.064
Calculated volume (Å³/f.u.): 57.5
Spin magnetization (μB/atom): 0.0000

---

2.
Below is Y3Sc after structural relaxation, with properties calculated at the GGA-PBE level.

Cell lengths 3.5172, 4.8971, 7.0172 Å; angles 90.00, 90.00, 90.00 degrees
With the nearest neighbours (Å) after each atom.
Positions (direct):
Y1 0.0000 0.0000 0.0000  2 Sc 3.51, 10 Y 3.51-3.52
Y2 0.5000 0.5000 0.2571  8 Y 3.41-3.61, 4 Sc 3.46
Y3 0.5000 0.5000 0.7429  8 Y 3.41-3.61, 4 Sc 3.46
Sc1 0.0000 0.0000 0.5000  10 Y 3.46-3.51, 2 Sc 3.52

Crystal system: orthorhombic
VASP energy (eV/atom): -6.379
Calculated volume (Å³/f.u.): 120.9
Spin magnetization (μB/atom): 0.0000

---

3.
Below is Y2Sc after structural relaxation, with properties calculated at the GGA-PBE level.

Cell lengths 7.2532, 7.2532, 7.2532 Å; angles 90.00, 90.00, 90.00 degrees
With the nearest neighbours (Å) after each atom.
Positions (direct):
Y1 0.1525 0.1525 0.1525  3 Sc 2.97
Y2 0.1525 0.3475 0.6525  3 Sc 2.97
Y3 0.3475 0.6525 0.1525  3 Sc 2.97
Y4 0.3475 0.8475 0.6525  3 Sc 2.97
Y5 0.6525 0.1525 0.3475  3 Sc 2.97
Y6 0.6525 0.3475 0.8475  3 Sc 2.97
Y7 0.8475 0.6525 0.3475  3 Sc 2.97
Y8 0.8475 0.8475 0.8475  3 Sc 2.97
Sc1 0.0000 0.0000 0.5000  6 Y 2.97
Sc2 0.0000 0.5000 0.0000  6 Y 2.97
Sc3 0.5000 0.0000 0.0000  6 Y 2.97
Sc4 0.5000 0.5000 0.5000  6 Y 2.97

Crystal system: cubic
VASP energy (eV/atom): -5.738
Calculated volume (Å³/f.u.): 95.4
Spin magnetization (μB/atom): 0.0003

---

4.
Below is YSc after structural relaxation, with properties calculated at the GGA-PBE level.

Cell lengths 3.4653, 3.4653, 4.7049 Å; angles 90.00, 90.00, 90.00 degrees
With the nearest neighbours (Å) after each atom.
Positions (direct):
Y1 0.0000 0.0000 0.0000  8 Sc 3.40, 4 Y 3.47
Sc1 0.5000 0.5000 0.5000  8 Y 3.40, 4 Sc 3.47

Crystal system: tetragonal
VASP energy (eV/atom): -6.339
Calculated volume (Å³/f.u.): 56.5
Spin magnetization (μB/atom): 0.0000

---

5.
Below is Y3Sc after structural relaxation, with properties calculated at the GGA-PBE level.

Cell lengths 6.0380, 6.0380, 6.0380 Å; angles 131.50, 131.50, 71.02 degrees
With the nearest neighbours (Å) after each atom.
Positions (direct):
Y1 0.0000 0.0000 0.0000  8 Y 3.49, 4 Sc 3.51
Y2 0.2500 0.7500 0.5000  4 Sc 3.49, 8 Y 3.49-3.51
Y3 0.7500 0.2500 0.5000  4 Sc 3.49, 8 Y 3.49-3.51
Sc1 0.5000 0.5000 0.0000  12 Y 3.49-3.51

Crystal system: tetragonal
VASP energy (eV/atom): -6.380
Calculated volume (Å³/f.u.): 120.9
Spin magnetization (μB/atom): 0.0000

---

6.
Below is Y2Sc after structural relaxation, with properties calculated at the GGA-PBE level.

Cell lengths 6.5578, 6.5578, 8.2019 Å; angles 102.41, 102.41, 31.38 degrees
With the nearest neighbours (Å) after each atom.
Positions (direct):
Y1 0.1356 0.1356 0.0316  8 Y 3.35-3.59, 4 Sc 3.40-3.56
Y2 0.1874 0.1874 0.6348  5 Sc 3.36-3.52, 7 Y 3.46-3.59
Y3 0.8126 0.8126 0.3652  5 Sc 3.36-3.52, 7 Y 3.46-3.59
Y4 0.8644 0.8644 0.9684  8 Y 3.35-3.59, 4 Sc 3.40-3.56
Sc1 0.4718 0.4718 0.6907  3 Sc 3.36-3.55, 9 Y 3.36-3.56
Sc2 0.5282 0.5282 0.3093  3 Sc 3.36-3.55, 9 Y 3.36-3.56

Crystal system: monoclinic
VASP energy (eV/atom): -6.398
Calculated volume (Å³/f.u.): 89.5
Spin magnetization (μB/atom): 0.0002

---

7.
Below is YSc5 after structural relaxation, with properties calculated at the GGA-PBE level.

Cell lengths 7.4175, 7.4175, 4.6786 Å; angles 90.00, 90.00, 143.18 degrees
With the nearest neighbours (Å) after each atom.
Positions (direct):
Y1 0.0000 0.0000 0.0000  12 Sc 3.31-3.35
Sc1 0.1692 0.8308 0.5000  10 Sc 3.25-3.34, 2 Y 3.34
Sc2 0.3297 0.6703 0.0000  10 Sc 3.24-3.35, 2 Y 3.35
Sc3 0.5000 0.5000 0.5000  4 Y 3.31, 8 Sc 3.34-3.35
Sc4 0.6703 0.3297 0.0000  10 Sc 3.24-3.35, 2 Y 3.35
Sc5 0.8308 0.1692 0.5000  10 Sc 3.25-3.34, 2 Y 3.34

Crystal system: orthorhombic
VASP energy (eV/atom): -6.296
Calculated volume (Å³/f.u.): 154.3
Spin magnetization (μB/atom): 0.0000

---

8.
Below is Y3Sc5 after structural relaxation, with properties calculated at the GGA-PBE level.

Cell lengths 9.0892, 9.0892, 6.2076 Å; angles 90.00, 90.00, 120.00 degrees
With the nearest neighbours (Å) after each atom.
Positions (direct):
Y1 0.0000 0.3994 0.2500  9 Sc 3.15-3.47
Y2 0.0000 0.6006 0.7500  9 Sc 3.15-3.47
Y3 0.3994 0.0000 0.2500  9 Sc 3.15-3.47
Y4 0.3994 0.3994 0.7500  9 Sc 3.15-3.47
Y5 0.6006 0.0000 0.7500  9 Sc 3.15-3.47
Y6 0.6006 0.6006 0.2500  9 Sc 3.15-3.47
Sc1 0.0000 0.2276 0.7500  5 Y 3.15-3.47
Sc2 0.0000 0.7724 0.2500  5 Y 3.15-3.47
Sc3 0.2276 0.0000 0.7500  5 Y 3.15-3.47
Sc4 0.2276 0.2276 0.2500  5 Y 3.15-3.47
Sc5 0.3333 0.6667 0.0000  2 Sc 3.10, 6 Y 3.18
Sc6 0.3333 0.6667 0.5000  2 Sc 3.10, 6 Y 3.18
Sc7 0.6667 0.3333 0.0000  2 Sc 3.10, 6 Y 3.18
Sc8 0.6667 0.3333 0.5000  2 Sc 3.10, 6 Y 3.18
Sc9 0.7724 0.0000 0.2500  5 Y 3.15-3.47
Sc10 0.7724 0.7724 0.7500  5 Y 3.15-3.47

Crystal system: hexagonal
VASP energy (eV/atom): -6.157
Calculated volume (Å³/f.u.): 222.1
Spin magnetization (μB/atom): 0.2916

---

9.
Below is YSc5 after structural relaxation, with properties calculated at the GGA-PBE level.

Cell lengths 6.0717, 6.0717, 5.2059 Å; angles 90.00, 90.00, 120.00 degrees
With the nearest neighbours (Å) after each atom.
Positions (direct):
Y1 0.0000 0.0000 0.0000  6 Sc 3.51
Sc1 0.0000 0.5000 0.5000  8 Sc 3.04-3.14
Sc2 0.3333 0.6667 0.0000  9 Sc 3.14-3.51, 3 Y 3.51
Sc3 0.5000 0.0000 0.5000  8 Sc 3.04-3.14
Sc4 0.5000 0.5000 0.5000  8 Sc 3.04-3.14
Sc5 0.6667 0.3333 0.0000  9 Sc 3.14-3.51, 3 Y 3.51

Crystal system: hexagonal
VASP energy (eV/atom): -6.079
Calculated volume (Å³/f.u.): 166.2
Spin magnetization (μB/atom): 0.0015

---

10.
Below is Y5Sc4 after structural relaxation, with properties calculated at the GGA-PBE level.

Cell lengths 9.3994, 9.3994, 6.7593 Å; angles 90.00, 90.00, 120.00 degrees
With the nearest neighbours (Å) after each atom.
Positions (direct):
Y1 0.0000 0.3001 0.2500  7 Sc 3.12-3.42
Y2 0.0000 0.6999 0.7500  7 Sc 3.12-3.42
Y3 0.3001 0.0000 0.2500  7 Sc 3.12-3.42
Y4 0.3001 0.3001 0.7500  7 Sc 3.12-3.42
Y5 0.3333 0.6667 0.0000  8 Y 3.38-3.71, 6 Sc 3.47
Y6 0.3333 0.6667 0.5000  8 Y 3.38-3.71, 6 Sc 3.47
Y7 0.6667 0.3333 0.0000  8 Y 3.38-3.71, 6 Sc 3.47
Y8 0.6667 0.3333 0.5000  8 Y 3.38-3.71, 6 Sc 3.47
Y9 0.6999 0.0000 0.7500  7 Sc 3.12-3.42
Y10 0.6999 0.6999 0.2500  7 Sc 3.12-3.42
Sc1 0.0000 0.0000 0.0000  6 Y 3.29, 2 Sc 3.38
Sc2 0.0000 0.0000 0.5000  6 Y 3.29, 2 Sc 3.38
Sc3 0.0000 0.3571 0.7500  9 Y 3.12-3.47
Sc4 0.0000 0.6429 0.2500  9 Y 3.12-3.47
Sc5 0.3571 0.0000 0.7500  9 Y 3.12-3.47
Sc6 0.3571 0.3571 0.2500  9 Y 3.12-3.47
Sc7 0.6429 0.0000 0.2500  9 Y 3.12-3.47
Sc8 0.6429 0.6429 0.7500  9 Y 3.12-3.47

Crystal system: hexagonal
VASP energy (eV/atom): -6.344
Calculated volume (Å³/f.u.): 258.6
Spin magnetization (μB/atom): 0.0000

---

11.
Below is Y5Sc after structural relaxation, with properties calculated at the GGA-PBE level.

Cell lengths 5.5853, 9.5032, 9.5032 Å; angles 21.84, 90.00, 90.00 degrees
With the nearest neighbours (Å) after each atom.
Positions (direct):
Y1 0.0000 0.0000 0.0000  10 Y 3.47-3.69, 2 Sc 3.56
Y2 0.0000 0.3273 0.3273  10 Y 3.47-3.69, 2 Sc 3.53
Y3 0.5000 0.1107 0.1107  4 Sc 3.47, 8 Y 3.47-3.63
Y4 0.5000 0.4421 0.4421  12 Y 3.49-3.64
Y5 0.5000 0.7728 0.7728  2 Sc 3.45, 10 Y 3.47-3.64
Sc1 0.0000 0.6643 0.6643  10 Y 3.45-3.56, 2 Sc 3.60

Crystal system: orthorhombic
VASP energy (eV/atom): -6.425
Calculated volume (Å³/f.u.): 187.6
Spin magnetization (μB/atom): 0.0001

---

12.
Below is Y3Sc4 after structural relaxation, with properties calculated at the GGA-PBE level.

Cell lengths 14.3273, 14.3273, 14.3273 Å; angles 164.98, 164.98, 21.30 degrees
With the nearest neighbours (Å) after each atom.
Positions (direct):
Y1 0.0000 0.0000 0.0000  10 Sc 3.39-3.73, 4 Y 3.74
Y2 0.2954 0.2954 0.0000  5 Sc 3.34-3.65, 4 Y 3.68
Y3 0.7046 0.7046 0.0000  5 Sc 3.34-3.65, 4 Y 3.68
Sc1 0.1325 0.1325 0.0000  4 Sc 3.10, 4 Y 3.34
Sc2 0.4248 0.4248 0.0000  4 Sc 3.10, 4 Y 3.39
Sc3 0.5752 0.5752 0.0000  4 Sc 3.10, 4 Y 3.39
Sc4 0.8675 0.8675 0.0000  4 Sc 3.10, 4 Y 3.34

Crystal system: tetragonal
VASP energy (eV/atom): -6.310
Calculated volume (Å³/f.u.): 197.4
Spin magnetization (μB/atom): 0.0000

---

13.
Below is Y3Sc5 after structural relaxation, with properties calculated at the GGA-PBE level.

Cell lengths 6.7577, 6.7577, 4.7757 Å; angles 90.00, 90.00, 91.15 degrees
With the nearest neighbours (Å) after each atom.
Positions (direct):
Y1 0.0000 0.0000 0.0000  8 Sc 3.38, 4 Y 3.43
Y2 0.2550 0.7450 0.5000  10 Sc 3.32-3.43, 2 Y 3.43
Y3 0.7450 0.2550 0.5000  10 Sc 3.32-3.43, 2 Y 3.43
Sc1 0.0000 0.5000 0.0000  6 Y 3.36-3.38, 6 Sc 3.38-3.39
Sc2 0.2530 0.2530 0.5000  6 Y 3.32-3.43, 6 Sc 3.34-3.39
Sc3 0.5000 0.0000 0.0000  6 Y 3.36-3.38, 6 Sc 3.38-3.39
Sc4 0.5000 0.5000 0.0000  8 Sc 3.34-3.38, 4 Y 3.36
Sc5 0.7470 0.7470 0.5000  6 Y 3.32-3.43, 6 Sc 3.34-3.39

Crystal system: orthorhombic
VASP energy (eV/atom): -6.316
Calculated volume (Å³/f.u.): 218.0
Spin magnetization (μB/atom): 0.0000

---

14.
Below is YSc5 after structural relaxation, with properties calculated at the GGA-PBE level.

Cell lengths 5.2434, 8.9120, 8.9120 Å; angles 21.81, 90.00, 90.00 degrees
With the nearest neighbours (Å) after each atom.
Positions (direct):
Y1 0.0000 0.0000 0.0000  10 Sc 3.28-3.43, 2 Y 3.37
Sc1 0.0000 0.3292 0.3292  10 Sc 3.22-3.37, 2 Y 3.43
Sc2 0.0000 0.6691 0.6691  10 Sc 3.25-3.37, 2 Y 3.41
Sc3 0.5000 0.2220 0.2220  12 Sc 3.22-3.37
Sc4 0.5000 0.5580 0.5580  8 Sc 3.26-3.47, 4 Y 3.28
Sc5 0.5000 0.8849 0.8849  10 Sc 3.27-3.47, 2 Y 3.31

Crystal system: orthorhombic
VASP energy (eV/atom): -6.333
Calculated volume (Å³/f.u.): 154.7
Spin magnetization (μB/atom): 0.0011

---

15.
Below is Y3Sc after structural relaxation, with properties calculated at the GGA-PBE level.

Cell lengths 5.6247, 5.6247, 5.6247 Å; angles 90.00, 90.00, 90.00 degrees
With the nearest neighbours (Å) after each atom.
Positions (direct):
Y1 0.0000 0.0000 0.5000  2 Sc 2.81
Y2 0.0000 0.5000 0.0000  2 Sc 2.81
Y3 0.5000 0.0000 0.0000  2 Sc 2.81
Sc1 0.0000 0.0000 0.0000  6 Y 2.81

Crystal system: cubic
VASP energy (eV/atom): -5.289
Calculated volume (Å³/f.u.): 177.9
Spin magnetization (μB/atom): 0.0000

---

16.
Below is Y5Sc after structural relaxation, with properties calculated at the GGA-PBE level.

Cell lengths 6.5084, 6.5084, 6.5084 Å; angles 60.00, 60.00, 60.00 degrees
With the nearest neighbours (Å) after each atom.
Positions (direct):
Y1 0.0000 0.0000 0.0000  12 Y 3.82, 4 Sc 3.99
Y2 0.1254 0.6249 0.6249  6 Y 3.25-3.26
Y3 0.6249 0.1254 0.6249  6 Y 3.25-3.26
Y4 0.6249 0.6249 0.1254  6 Y 3.25-3.26
Y5 0.6249 0.6249 0.6249  6 Y 3.25-3.26
Sc1 0.2500 0.2500 0.2500  16 Y 3.82-3.99

Crystal system: cubic
VASP energy (eV/atom): -6.130
Calculated volume (Å³/f.u.): 194.9
Spin magnetization (μB/atom): 0.0186

---

17.
Below is Y2Sc after structural relaxation, with properties calculated at the GGA-PBE level.

Cell lengths 7.6692, 7.6692, 7.6692 Å; angles 153.64, 153.64, 37.62 degrees
With the nearest neighbours (Å) after each atom.
Positions (direct):
Y1 0.1607 0.1607 0.0000  4 Sc 3.40, 8 Y 3.50-3.58
Y2 0.8393 0.8393 0.0000  4 Sc 3.40, 8 Y 3.50-3.58
Sc1 0.5000 0.5000 0.0000  8 Y 3.40, 4 Sc 3.50

Crystal system: tetragonal
VASP energy (eV/atom): -6.368
Calculated volume (Å³/f.u.): 88.8
Spin magnetization (μB/atom): 0.0001

---

18.
Below is YSc after structural relaxation, with properties calculated at the GGA-PBE level.

Cell lengths 8.1613, 8.1613, 8.1613 Å; angles 109.47, 109.47, 109.47 degrees
With the nearest neighbours (Å) after each atom.
Positions (direct):
Y1 0.0000 0.0000 0.4152  4 Sc 3.03-3.25
Y2 0.0000 0.4152 0.0000  4 Sc 3.03-3.25
Y3 0.4152 0.0000 0.0000  4 Sc 3.03-3.25
Y4 0.5848 0.5848 0.5848  4 Sc 3.03-3.25
Sc1 0.0000 0.0000 0.7862  3 Sc 2.85, 1 Y 3.03
Sc2 0.0000 0.7862 0.0000  3 Sc 2.85, 1 Y 3.03
Sc3 0.2138 0.2138 0.2138  3 Sc 2.85, 1 Y 3.03
Sc4 0.7862 0.0000 0.0000  3 Sc 2.85, 1 Y 3.03

Crystal system: cubic
VASP energy (eV/atom): -4.931
Calculated volume (Å³/f.u.): 104.6
Spin magnetization (μB/atom): 0.2347

---

19.
Below is YSc after structural relaxation, with properties calculated at the GGA-PBE level.

Cell lengths 5.4496, 5.4496, 5.4496 Å; angles 60.00, 60.00, 60.00 degrees
With the nearest neighbours (Å) after each atom.
Positions (direct):
Y1 0.1250 0.1250 0.1250  4 Sc 3.34, 4 Y 3.34
Y2 0.8750 0.8750 0.8750  4 Sc 3.34, 4 Y 3.34
Sc1 0.3750 0.3750 0.3750  4 Sc 3.34, 4 Y 3.34
Sc2 0.6250 0.6250 0.6250  4 Sc 3.34, 4 Y 3.34

Crystal system: cubic
VASP energy (eV/atom): -6.251
Calculated volume (Å³/f.u.): 57.2
Spin magnetization (μB/atom): 0.2861

---

20.
Below is Y3Sc after structural relaxation, with properties calculated at the GGA-PBE level.

Cell lengths 3.5723, 3.5723, 11.0630 Å; angles 90.00, 90.00, 120.00 degrees
With the nearest neighbours (Å) after each atom.
Positions (direct):
Y1 0.0000 0.0000 0.0000  12 Y 3.54-3.57
Y2 0.3333 0.6667 0.2603  3 Sc 3.36, 9 Y 3.54-3.57
Y3 0.3333 0.6667 0.7397  3 Sc 3.36, 9 Y 3.54-3.57
Sc1 0.0000 0.0000 0.5000  6 Y 3.36, 6 Sc 3.57

Crystal system: hexagonal
VASP energy (eV/atom): -6.404
Calculated volume (Å³/f.u.): 122.3
Spin magnetization (μB/atom): 0.0001

---

Number 1: formation enthalpy at 0 K 0.33 eV/atom. Number 2: formation enthalpy at 0 K 0.05 eV/atom. Number 3: formation enthalpy at 0 K 0.68 eV/atom. Number 4: formation enthalpy at 0 K 0.06 eV/atom. Number 5: formation enthalpy at 0 K 0.05 eV/atom. Number 6: formation enthalpy at 0 K 0.02 eV/atom. Number 7: formation enthalpy at 0 K 0.06 eV/atom. Number 8: formation enthalpy at 0 K 0.22 eV/atom. Number 9: formation enthalpy at 0 K 0.27 eV/atom. Number 10: formation enthalpy at 0 K 0.06 eV/atom. Number 11: formation enthalpy at 0 K 0.02 eV/atom. Number 12: formation enthalpy at 0 K 0.08 eV/atom. Number 13: formation enthalpy at 0 K 0.07 eV/atom. Number 14: formation enthalpy at 0 K 0.02 eV/atom. Number 15: formation enthalpy at 0 K 1.14 eV/atom. Number 16: formation enthalpy at 0 K 0.31 eV/atom. Number 17: formation enthalpy at 0 K 0.05 eV/atom. Number 18: formation enthalpy at 0 K 1.47 eV/atom. Number 19: formation enthalpy at 0 K 0.15 eV/atom. Number 20: formation enthalpy at 0 K 0.03 eV/atom.